# PrDy3Ho2 (PBE, optimized geometry)
# Theoretical density: 8.05 g/cm3
# Size of the total moment: 0.00 μB/f.u.
# Calculated volume: 790.2 Å³ per cell
# Calculated formation energy: 228 meV/atom
data_PrDy3Ho2
_chemical_formula_sum 'Pr4 Dy12 Ho8'
_cell_length_a 9.4703
_cell_length_b 13.1743
_cell_length_c 6.3336
_cell_angle_alpha 90.00
_cell_angle_beta 90.00
_cell_angle_gamma 90.00
_symmetry_space_group_name_H-M 'C m c 21'
_symmetry_Int_Tables_number 36
loop_
_symmetry_equiv_pos_as_xyz
'x,y,z'
'-x,-y,z+1/2'
'-x,y,z'
'x,-y,z+1/2'
'x+1/2,y+1/2,z'
'-x+1/2,-y+1/2,z+1/2'
'-x+1/2,y+1/2,z'
'x+1/2,-y+1/2,z+1/2'
loop_
_atom_site_label
_atom_site_fract_x
_atom_site_fract_y
_atom_site_fract_z
_atom_site_occupancy
Pr1 0.0000 0.1771 0.0000 1
Dy1 0.0000 0.0807 0.4726 1
Dy2 0.1817 0.3050 0.6730 1
Ho1 0.1822 0.4411 0.2192 1